(1)
Compound: Ca2Ag5Au5
Source: Alexandria
Functional: GGA-PBE
Structure: optimized geometry

Unit cell a=4.698 b=5.576 c=9.744 alpha=90.00 beta=90.00 gamma=90.00
Space group Pmmm (No. 47)
Inequivalent atoms, fractional coordinates:
Ca 0.000 0.000 0.000 [1 per cell]
Ca 0.000 0.500 0.500 [1 per cell]
Ag 0.500 0.000 0.500 [1 per cell]
Ag 0.500 0.250 0.250 [4 per cell]
Au 0.000 0.000 0.334 [2 per cell]
Au 0.000 0.500 0.168 [2 per cell]
Au 0.500 0.500 0.000 [1 per cell]

Summary:
formation enthalpy at 0 K	-0.32	eV per atom
VASP energy	-0.2359	Ry/atom



(2)
Compound: Tc2Au
Source: Alexandria
Functional: GGA-PBE
Structure: optimized geometry

Unit cell a=7.319 b=7.319 c=7.319 alpha=90.00 beta=90.00 gamma=90.00
Space group Fd-3m (No. 227, origin choice 2)
Inequivalent atoms, fractional coordinates:
Tc 0.000 0.000 0.000 [16 per cell]
Au 0.125 0.125 0.625 [8 per cell]

Summary:
formation enthalpy at 0 K	0.55	eV per atom
VASP energy	-0.5479	Ry/atom



Question: What is the VASP energy in the second record?
Answer: -0.5479 Ry/atom



Question: The highest formation enthalpy at 0 K belongs to which entry?
Answer: Tc2Au